First-principles (GGA-PBE) data for CoReIr2W after structural relaxation, as listed in the Alexandria database.

a b c (Å): 4.396 4.289 4.396
angles (deg): 90.00 90.00 90.00
Positions (direct):
Ir (0.500, 0.000, 0.000)
Ir (0.000, 0.000, 0.500)
Re (0.000, 0.500, 0.000)
W (0.500, 0.500, 0.500)
Co (0.000, 0.000, 0.000)

* DOS(E_F): 9.195 states/eV/cell
* space-group type: P4/mmm
* DFT total energy: -8.444 eV/atom

---

First-principles (GGA-PBE) data for Mg8TlCd6 after structural relaxation, as listed in the Alexandria database.

a b c (Å): 8.581 8.581 7.624
angles (deg): 55.75 55.75 60.00
Positions (direct):
Cd (0.707, 0.399, 0.842)
Cd (0.052, 0.707, 0.842)
Cd (0.948, 0.293, 0.158)
Cd (0.601, 0.948, 0.158)
Cd (0.293, 0.601, 0.158)
Cd (0.399, 0.052, 0.842)
Mg (0.881, 0.563, 0.350)
Mg (0.793, 0.119, 0.650)
Mg (0.333, 0.333, 0.002)
Mg (0.437, 0.793, 0.650)
Mg (0.207, 0.881, 0.350)
Mg (0.563, 0.207, 0.350)
Mg (0.667, 0.667, 0.998)
Mg (0.119, 0.437, 0.650)
Tl (0.000, 0.000, 0.000)

* DOS(E_F): 3.794 states/eV/cell
* space-group type: R-3
* DFT total energy: -1.376 eV/atom

---

First-principles (GGA-PBE) data for YLuTlNi after structural relaxation, as listed in the Alexandria database.

a b c (Å): 5.068 5.068 5.068
angles (deg): 60.00 60.00 60.00
Positions (direct):
Tl (0.250, 0.250, 0.250)
Y (0.500, 0.500, 0.500)
Lu (0.000, 0.000, 0.000)
Ni (0.750, 0.750, 0.750)

* DOS(E_F): 3.967 states/eV/cell
* space-group type: F-43m
* DFT total energy: -5.047 eV/atom

---

Q: What is the DFT total energy in the third record?
A: -5.047 eV/atom

---

Q: Which of these has the highest DOS(E_F)?
A: CoReIr2W